[1]
Computed, not measured: an optimized crystal structure of ZnSbMo at the GGA-PBEsol level of DFT.

Output
Crystal system   cubic
Density of states at the Fermi level   13.94 states/eV per cell
Raw total energy   -5.22 eV per atom
ΔE_f (raw)   2.2 eV per formula unit
Total moment   0.0 μB/f.u.
ρ   7.86 g cm⁻³

Lattice parameters (Å, degrees): 6.207 6.207 6.207 90.00 90.00 90.00
Space group F-43m (No. 216)
Unique sites:
Zn 0.000 0.000 0.000
Sb 0.250 0.250 0.750
Mo 0.000 0.000 0.500

---

[2]
Computed, not measured: an optimized crystal structure of CaNi5H at the GGA-PBEsol level of DFT.

Output
Crystal system   orthorhombic
Density of states at the Fermi level   18.03 states/eV per cell
Raw total energy   -5.26 eV per atom
Total moment   1.6 μB/f.u.
ρ   6.87 g cm⁻³

Lattice parameters (Å, degrees): 3.905 4.943 8.381 90.00 90.00 90.00
Space group Amm2 (No. 38)
Unique sites:
Ca 0.000 0.000 0.000
Ni 0.000 0.000 0.335
Ni 0.000 0.000 0.659
Ni 0.500 0.000 0.499
Ni 0.500 0.244 0.248
H 0.500 0.000 0.857

---

[3]
Computed, not measured: an optimized crystal structure of Ca4ZrTl at the GGA-PBEsol level of DFT.

Output
Crystal system   cubic
Density of states at the Fermi level   31.47 states/eV per cell
Raw total energy   -2.86 eV per atom
Total moment   4.4 μB/f.u.
ρ   4.00 g cm⁻³

Lattice parameters (Å, degrees): 9.112 9.112 9.112 90.00 90.00 90.00
Space group F-43m (No. 216)
Unique sites:
Ca 0.125 0.125 0.125
Zr 0.250 0.250 0.750
Tl 0.000 0.000 0.500

---

[4]
Computed, not measured: an optimized crystal structure of ErAgSn at the GGA-PBEsol level of DFT.

Output
Crystal system   hexagonal
Density of states at the Fermi level   0.71 states/eV per cell
Raw total energy   -4.79 eV per atom
Total moment   0.0 μB/f.u.
ρ   9.76 g cm⁻³

Lattice parameters (Å, degrees): 4.6348 4.6348 7.2066 90.00 90.00 120.00
Space group P6_3mc (No. 186)
Unique sites:
Er 0.0000 0.0000 0.0000
Ag 0.3333 0.6667 0.1847
Sn 0.3333 0.6667 0.7783